1.
VASP calculation (GGA-PBE) on Pu3Tc after structural relaxation.

The calculation puts the calculated formation energy at 304.5 meV per atom.

```
Pu3Tc
1.0
4.634 0.000 0.000
0.000 3.305 0.000
0.000 0.000 5.735
Tc Pu
1 3
Direct
0.000 0.000 0.950
0.000 0.500 0.469
0.500 0.500 0.182
0.500 0.000 0.732
```

=====

2.
VASP calculation (GGA-PBE) on ScGe3As after structural relaxation.

The calculation puts the calculated formation energy at 732.7 meV per atom. Its distance to the lowest polymorph of the same formula is 0.182 eV per atom.

```
ScGe3As
1.0
5.112 0.000 0.000
0.000 5.112 0.000
0.000 0.000 5.112
Sc As Ge
1 1 3
Direct
0.000 0.000 0.000
0.500 0.500 0.500
0.000 0.500 0.000
0.000 0.000 0.500
0.500 0.000 0.000
```

=====

3.
VASP calculation (GGA-PBE) on Ac3PmY2 after structural relaxation.

The calculation puts the calculated formation energy at 188.1 meV per atom.

```
Ac3PmY2
1.0
6.761 -0.001 0.000
0.000 8.193 -5.964
0.000 -1.932 9.948
Ac Pm Y
6 2 4
Direct
0.750 0.855 0.145
0.250 0.145 0.855
0.750 0.429 0.073
0.250 0.571 0.927
0.750 0.927 0.571
0.250 0.073 0.429
0.750 0.357 0.643
0.250 0.643 0.357
0.000 0.258 0.258
0.500 0.742 0.742
0.000 0.742 0.742
0.500 0.258 0.258
```

=====

4.
VASP calculation (GGA-PBE) on Mn2RhSe after structural relaxation.

The raw formation energy is 0.79 eV per formula unit.

```
Mn2RhSe
1.0
4.264 0.000 0.000
2.132 3.693 0.000
2.132 1.231 3.482
Mn Rh Se
2 1 1
Direct
0.000 0.000 0.000
0.250 0.250 0.250
0.500 0.500 0.500
0.750 0.750 0.750
```

=====

| no. | spin magnetization (Bohr magnetons per cell) |
| --- | --- |
| 1 | 14.70 |
| 2 | 0.00 |
| 3 | 0.00 |
| 4 | 4.47 |